Record 1
Computed, not measured: a geometry-optimized La2Ga4CuNi3 structure at the PBE level of DFT.

Unit cell a=4.2930 b=4.2930 c=9.7394 alpha=90.00 beta=90.00 gamma=90.00
Closest atoms and distances in Å follow each position.
Element x y z (fractional)
1 La 0.0000 0.5000 0.2486  6 Ni 3.24-3.27, 2 Cu 3.24, 9 Ga 3.26-3.62
2 La 0.5000 0.0000 0.7514  6 Ni 3.24-3.27, 2 Cu 3.24, 9 Ga 3.26-3.62
3 Ga 0.0000 0.0000 0.5000  4 Ni 2.48
4 Ga 0.0000 0.5000 0.8769  3 Ni 2.42-2.46, 2 Cu 2.46
5 Ga 0.5000 0.0000 0.1231  3 Ni 2.42-2.46, 2 Cu 2.46
6 Ga 0.5000 0.5000 0.5000  4 Ni 2.48
7 Cu 0.5000 0.5000 0.0000  4 Ga 2.46
8 Ni 0.0000 0.0000 0.0000  4 Ga 2.46
9 Ni 0.0000 0.5000 0.6280  5 Ga 2.42-2.48
10 Ni 0.5000 0.0000 0.3720  5 Ga 2.42-2.48

## Properties
The calculation puts the total DFT energy (no corrections) at -4.871 eV/atom. The density of states at the Fermi level is 0.88 states/eV per atom. The space group is P-4m2 (115).

Record 2
Computed, not measured: a geometry-optimized LaGa2CuNi structure at the PBE level of DFT.

Unit cell a=5.8208 b=5.8208 c=5.8208 alpha=136.59 beta=136.59 gamma=63.07
Closest atoms and distances in Å follow each position.
Element x y z (fractional)
1 La 0.0000 0.0000 0.0000  4 Ni 3.28, 4 Cu 3.28, 10 Ga 3.32-3.64
2 Ga 0.3666 0.3666 0.0000  2 Cu 2.44, 2 Ni 2.44, 1 Ga 2.65
3 Ga 0.6334 0.6334 0.0000  2 Ni 2.44, 2 Cu 2.44, 1 Ga 2.65
4 Cu 0.2500 0.7500 0.5000  4 Ga 2.44
5 Ni 0.7500 0.2500 0.5000  4 Ga 2.44

## Properties
The density of states at the Fermi level is 0.96 states/eV per atom. The space group is I-4m2 (119). The calculation puts the energy above the lowest structure with this stoichiometry at 0.0 meV/atom.

Record 3
Computed, not measured: a geometry-optimized LaGa4Cu2Ni structure at the PBE level of DFT.

Unit cell a=9.3365 b=9.3365 c=9.3365 alpha=25.85 beta=25.85 gamma=25.85
Closest atoms and distances in Å follow each position.
Element x y z (fractional)
1 La 0.0000 0.0000 0.0000  6 Ga 3.12
2 Ga 0.1332 0.1332 0.1332  3 Ni 2.58, 4 Cu 2.58-2.72
3 Ga 0.4064 0.4064 0.4064  3 Cu 2.52, 1 Ni 2.53
4 Ga 0.5936 0.5936 0.5936  3 Cu 2.52, 1 Ni 2.53
5 Ga 0.8668 0.8668 0.8668  3 Ni 2.58, 4 Cu 2.58-2.72
6 Cu 0.2336 0.2336 0.2336  7 Ga 2.52-2.72
7 Cu 0.7664 0.7664 0.7664  7 Ga 2.52-2.72
8 Ni 0.5000 0.5000 0.5000  8 Ga 2.53-2.58

## Properties
The calculation puts the total DFT energy (no corrections) at -4.231 eV/atom. The density of states at the Fermi level is 0.35 states/eV per atom. The space group is R-3m (166).

Record 4
Computed, not measured: a geometry-optimized LaGa2CuNi2 structure at the PBE level of DFT.

Unit cell a=4.4717 b=4.4717 c=5.4195 alpha=90.00 beta=90.00 gamma=90.00
Closest atoms and distances in Å follow each position.
Element x y z (fractional)
1 La 0.0000 0.0000 0.0000  2 Cu 2.71
2 Ga 0.5000 0.5000 0.2557  4 Ni 2.60, 2 Ga 2.65-2.77
3 Ga 0.5000 0.5000 0.7443  4 Ni 2.60, 2 Ga 2.65-2.77
4 Cu 0.0000 0.0000 0.5000  4 Ni 2.24
5 Ni 0.0000 0.5000 0.5000  2 Cu 2.24
6 Ni 0.5000 0.0000 0.5000  2 Cu 2.24

## Properties
The calculation puts the total DFT energy (no corrections) at -4.628 eV/atom. The density of states at the Fermi level is 0.83 states/eV per atom. The space group is P4/mmm (123).

Record 5
Computed, not measured: a geometry-optimized La2Ga4Cu3Ni structure at the PBE level of DFT.

Unit cell a=4.2811 b=4.2811 c=10.0862 alpha=90.00 beta=90.00 gamma=90.00
Closest atoms and distances in Å follow each position.
Element x y z (fractional)
1 La 0.0000 0.5000 0.2422  2 Ni 3.25, 6 Cu 3.25-3.28, 8 Ga 3.27-3.37
2 La 0.5000 0.0000 0.7578  2 Ni 3.25, 6 Cu 3.25-3.28, 8 Ga 3.27-3.37
3 Ga 0.0000 0.0000 0.5000  4 Cu 2.53
4 Ga 0.0000 0.5000 0.8802  2 Ni 2.46, 3 Cu 2.46-2.49
5 Ga 0.5000 0.0000 0.1198  2 Ni 2.46, 3 Cu 2.46-2.49
6 Ga 0.5000 0.5000 0.5000  4 Cu 2.53
7 Cu 0.0000 0.0000 0.0000  4 Ga 2.46
8 Cu 0.0000 0.5000 0.6336  5 Ga 2.49-2.53
9 Cu 0.5000 0.0000 0.3664  5 Ga 2.49-2.53
10 Ni 0.5000 0.5000 0.0000  4 Ga 2.46

## Properties
The calculation puts the total DFT energy (no corrections) at -4.472 eV/atom. The density of states at the Fermi level is 0.63 states/eV per atom. The space group is P-4m2 (115).

Record 6
Computed, not measured: a geometry-optimized LaGaCu2Ni structure at the PBE level of DFT.

Unit cell a=6.0009 b=6.0009 c=6.0009 alpha=140.44 beta=140.01 gamma=57.52
Closest atoms and distances in Å follow each position.
Element x y z (fractional)
1 La 0.0000 0.0000 0.0000  4 Ni 3.12, 8 Cu 3.15-3.39, 4 Ga 3.28-3.38
2 Ga 0.2565 0.7565 0.5000  2 Ni 2.45, 2 Cu 2.51
3 Cu 0.6192 0.6192 0.0000  1 Ni 2.44, 2 Cu 2.49, 2 Ga 2.51
4 Cu 0.7567 0.2567 0.5000  2 Ni 2.47, 2 Cu 2.49
5 Ni 0.3876 0.3876 0.0000  3 Cu 2.44-2.47, 2 Ga 2.45

## Properties
The calculation puts the total DFT energy (no corrections) at -4.704 eV/atom. The density of states at the Fermi level is 0.47 states/eV per atom. The space group is Imm2 (44).

Record 7
Computed, not measured: a geometry-optimized LaGa2CuNi structure at the PBE level of DFT.

Unit cell a=4.5370 b=4.5370 c=4.7178 alpha=90.00 beta=90.00 gamma=90.00
Closest atoms and distances in Å follow each position.
Element x y z (fractional)
1 La 0.0000 0.0000 0.0000  4 Cu 3.21, 8 Ga 3.27
2 Ga 0.0000 0.5000 0.5000  2 Ni 2.27
3 Ga 0.5000 0.0000 0.5000  2 Ni 2.27
4 Cu 0.5000 0.5000 0.0000  2 Ni 2.36
5 Ni 0.5000 0.5000 0.5000  4 Ga 2.27, 2 Cu 2.36

## Properties
The density of states at the Fermi level is 0.37 states/eV per atom. The space group is P4/mmm (123). The calculation puts the energy above the lowest structure with this stoichiometry at 136.1 meV/atom.

Record 8
Computed, not measured: a geometry-optimized LaGaCuNi3 structure at the PBE level of DFT.

Unit cell a=6.2867 b=6.2867 c=6.4194 alpha=90.00 beta=90.00 gamma=129.34
Closest atoms and distances in Å follow each position.
Element x y z (fractional)
1 La 0.1804 0.8196 0.7500  1 Cu 2.68, 6 Ni 2.72-2.90
2 La 0.8196 0.1804 0.2500  1 Cu 2.68, 6 Ni 2.72-2.90
3 Ga 0.1287 0.8713 0.2500  5 Ni 2.52-2.60, 2 Cu 2.74
4 Ga 0.8713 0.1287 0.7500  5 Ni 2.52-2.60, 2 Cu 2.74
5 Cu 0.4166 0.5834 0.7500  5 Ni 2.34-2.57
6 Cu 0.5834 0.4166 0.2500  5 Ni 2.34-2.57
7 Ni 0.2377 0.2377 0.0000  2 Cu 2.34, 2 Ga 2.52, 1 Ni 2.56
8 Ni 0.2377 0.2377 0.5000  2 Cu 2.34, 2 Ga 2.52, 1 Ni 2.56
9 Ni 0.3574 0.6426 0.2500  1 Cu 2.57, 1 Ga 2.60, 4 Ni 2.68, 2 La 2.72
10 Ni 0.6426 0.3574 0.7500  1 Cu 2.57, 1 Ga 2.60, 4 Ni 2.68, 2 La 2.72
11 Ni 0.7623 0.7623 0.0000  2 Cu 2.34, 2 Ga 2.52, 1 Ni 2.56
12 Ni 0.7623 0.7623 0.5000  2 Cu 2.34, 2 Ga 2.52, 1 Ni 2.56

## Properties
The calculation puts the total DFT energy (no corrections) at -5.059 eV/atom. The density of states at the Fermi level is 0.55 states/eV per atom. The space group is Cmcm (63).